Entry 1:
Material: Os2C
Method: DFT, PBE
State: relaxed

Calculated values
Symmetry = No. 164
Magnetic moment = 0.00 μB per formula unit
E above lowest polymorph = 92 kJ/mol of formula units

Cell lengths 2.779, 2.779, 5.209 Å; angles 90.00, 90.00, 120.00 degrees
Sites, in units of the cell vectors:
Os (0.667, 0.333, 0.723)
Os (0.333, 0.667, 0.277)
C (0.000, 0.000, 0.000)

=====

Entry 2:
Material: YMnNi2
Method: DFT, PBE
State: relaxed

Calculated values
Symmetry = No. 123
Magnetic moment = 3.99 μB per formula unit
E above lowest polymorph = 57 kJ/mol of formula units

Cell lengths 4.319, 4.318, 3.386 Å; angles 90.00, 90.00, 90.00 degrees
Last column: magnetic moment on the atom in μB.
Sites, in units of the cell vectors:
Ni (0.000, 0.000, 0.000)  0.20
Ni (0.500, 0.500, 0.000)  0.20
Y (0.500, 0.000, 0.500)  -0.10
Mn (0.000, 0.500, 0.500)  3.63

=====

Entry 3:
Material: KTlCr
Method: DFT, PBE
State: relaxed

Calculated values
Symmetry = No. 156
Magnetic moment = 4.46 μB per formula unit
E above lowest polymorph = 48 kJ/mol of formula units

Cell lengths 3.644, 3.644, 8.056 Å; angles 90.00, 90.00, 120.00 degrees
Last column: magnetic moment on the atom in μB.
Sites, in units of the cell vectors:
Cr (0.000, 0.000, 0.961)  3.95
K (0.333, 0.667, 0.335)  0.00
Tl (0.667, 0.333, 0.704)  -0.01

=====

Values of E_form, in order: 0.822 -0.084 0.708, all in eV/atom.
Values of mass density, in order: 18709 6870 5297, all in kg/m³.